Record 1
5
Lattice="5.2396 0.0000 0.0000 0.0000 5.2396 0.0000 0.0000 0.0000 5.4341" Properties=species:S:1:pos:R:3 comment="TlSnMo2Pd | the Alexandria database | PBE-GGA | optimized geometry" e_form_ev_per_atom=2.208 rho_g_cm3=6.92 dos_at_fermi_per_ev_atom=0.730 pbc="T T T"
Tl 0.0000 0.0000 0.0000
Sn 0.0000 0.0000 2.7171
Mo 0.0000 2.6198 0.0000
Mo 2.6198 0.0000 0.0000
Pd 2.6198 2.6198 2.7171



Record 2
4
Lattice="0.0000 3.4427 3.4427 3.4427 0.0000 3.4427 3.4427 3.4427 0.0000" Properties=species:S:1:pos:R:3 comment="SrMoPd2 | the Alexandria database | PBE-GGA | optimized geometry" e_form_ev_per_atom=0.304 rho_g_cm3=8.07 dos_at_fermi_per_ev_atom=1.001 pbc="T T T"
Sr 0.0000 0.0000 0.0000
Mo 3.4427 3.4427 3.4427
Pd 1.7214 1.7214 1.7214
Pd 5.1641 5.1641 5.1641



Record 3
5
Lattice="4.9868 0.0000 0.0000 0.0000 4.9868 0.0000 0.0000 0.0000 4.9868" Properties=species:S:1:pos:R:3 comment="SrMoPd3 | the Alexandria database | PBE-GGA | optimized geometry" e_form_ev_per_atom=1.825 rho_g_cm3=6.73 dos_at_fermi_per_ev_atom=4.691 pbc="T T T"
Sr 0.0000 0.0000 0.0000
Mo 2.4934 2.4934 2.4934
Pd 0.0000 0.0000 2.4934
Pd 0.0000 2.4934 0.0000
Pd 2.4934 0.0000 0.0000



Record 4
5
Lattice="4.9147 0.0000 0.0000 0.0000 4.9147 0.0000 0.0000 0.0000 4.9147" Properties=species:S:1:pos:R:3 comment="SrMoPd3 | the Alexandria database | PBE-GGA | optimized geometry" e_form_ev_per_atom=0.326 rho_g_cm3=7.03 dos_at_fermi_per_ev_atom=1.024 pbc="T T T"
Sr 0.0000 0.0000 0.0000
Mo 2.4573 2.4573 2.4573
Pd 0.0000 2.4573 2.4573
Pd 2.4573 0.0000 2.4573
Pd 2.4573 2.4573 0.0000



Record 5
8
Lattice="-2.6009 2.6009 8.2644 2.6009 -2.6009 8.2644 2.6009 2.6009 -8.2644" Properties=species:S:1:pos:R:3 comment="SrMoPd2 | the Alexandria database | PBE-GGA | optimized geometry" e_form_ev_per_atom=0.521 rho_g_cm3=5.89 dos_at_fermi_per_ev_atom=0.984 pbc="T T T"
Sr 0.0000 0.0000 0.0000
Sr 0.0000 2.6009 4.1322
Mo 2.6009 0.0000 4.1322
Mo 0.0000 0.0000 8.2644
Pd 1.3004 -0.2088 6.1983
Pd 2.3921 1.3004 2.0661
Pd 1.3004 2.8097 -2.0661
Pd 0.2088 1.3004 10.3305



Record 6
5
Lattice="4.8749 0.0000 0.0000 0.0000 4.8749 0.0000 0.0000 0.0000 5.5570" Properties=species:S:1:pos:R:3 comment="SrTaMoPd2 | the Alexandria database | PBE-GGA | optimized geometry" e_form_ev_per_atom=1.496 rho_g_cm3=7.26 dos_at_fermi_per_ev_atom=0.808 pbc="T T T"
Sr 0.0000 0.0000 0.0000
Ta 0.0000 0.0000 2.7785
Mo 2.4375 2.4375 0.0000
Pd 0.0000 2.4375 2.7785
Pd 2.4375 0.0000 2.7785



Record 7
5
Lattice="4.8869 0.0000 0.0000 0.0000 4.8869 0.0000 0.0000 0.0000 4.8404" Properties=species:S:1:pos:R:3 comment="SrTc2MoPd | the Alexandria database | PBE-GGA | optimized geometry" e_form_ev_per_atom=1.658 rho_g_cm3=6.98 dos_at_fermi_per_ev_atom=2.127 pbc="T T T"
Sr 0.0000 0.0000 0.0000
Tc 0.0000 2.4434 2.4202
Tc 2.4434 0.0000 2.4202
Mo 2.4434 2.4434 0.0000
Pd 2.4434 2.4434 2.4202



Record 8
5
Lattice="4.7263 0.0000 0.0000 0.0000 4.7263 0.0000 0.0000 0.0000 4.7263" Properties=species:S:1:pos:R:3 comment="TaMoPd3 | the Alexandria database | PBE-GGA | optimized geometry" e_form_ev_per_atom=1.443 rho_g_cm3=9.38 dos_at_fermi_per_ev_atom=1.036 pbc="T T T"
Ta 0.0000 0.0000 0.0000
Mo 2.3631 2.3631 2.3631
Pd 0.0000 0.0000 2.3631
Pd 0.0000 2.3631 0.0000
Pd 2.3631 0.0000 0.0000



> Which formula does entry 1 have?

TlSnMo2Pd



Repeat the eighth record exactly.
5
Lattice="4.7263 0.0000 0.0000 0.0000 4.7263 0.0000 0.0000 0.0000 4.7263" Properties=species:S:1:pos:R:3 comment="TaMoPd3 | the Alexandria database | PBE-GGA | optimized geometry" e_form_ev_per_atom=1.443 rho_g_cm3=9.38 dos_at_fermi_per_ev_atom=1.036 pbc="T T T"
Ta 0.0000 0.0000 0.0000
Mo 2.3631 2.3631 2.3631
Pd 0.0000 0.0000 2.3631
Pd 0.0000 2.3631 0.0000
Pd 2.3631 0.0000 0.0000



Repeat the first record exactly.
5
Lattice="5.2396 0.0000 0.0000 0.0000 5.2396 0.0000 0.0000 0.0000 5.4341" Properties=species:S:1:pos:R:3 comment="TlSnMo2Pd | the Alexandria database | PBE-GGA | optimized geometry" e_form_ev_per_atom=2.208 rho_g_cm3=6.92 dos_at_fermi_per_ev_atom=0.730 pbc="T T T"
Tl 0.0000 0.0000 0.0000
Sn 0.0000 0.0000 2.7171
Mo 0.0000 2.6198 0.0000
Mo 2.6198 0.0000 0.0000
Pd 2.6198 2.6198 2.7171